# 1
AcCdPd after structural relaxation, computed with PBE-GGA.

Computed properties:
Energy of formation from the pure elements = -58 kJ per mole of atoms
Size of the total moment = 0.00 μB per formula unit
Energy above the lowest structure with this stoichiometry = 0.069 eV per atom
Space group = No. 2

abc: 4.6598 5.6426 6.6804
angles: 99.62 110.38 90.08
With the nearest neighbours (Å) after each atom.
Element x y z (fractional)
1 Ac 0.1245 0.2998 0.2501  4 Pd 3.05-3.22
2 Ac 0.8755 0.7002 0.7499  4 Pd 3.05-3.22
3 Cd 0.4111 0.2167 0.8231  3 Pd 2.84-2.92
4 Cd 0.5889 0.7833 0.1769  3 Pd 2.84-2.92
5 Pd 0.2201 0.8377 0.4396  3 Cd 2.84-2.92, 2 Pd 2.97-2.98, 2 Ac 3.05-3.06
6 Pd 0.7799 0.1623 0.5604  3 Cd 2.84-2.92, 2 Pd 2.97-2.98, 2 Ac 3.05-3.06

# 2
Ac4Cd5Pd6 after structural relaxation, computed with PBE-GGA.

Computed properties:
Energy of formation from the pure elements = -56 kJ per mole of atoms
Size of the total moment = 0.00 μB per formula unit
Space group = No. 36

abc: 11.0909 11.0909 16.0911
angles: 90.00 90.00 157.29
With the nearest neighbours (Å) after each atom.
Element x y z (fractional)
1 Ac 0.0119 0.9881 0.5000  7 Pd 3.18-3.43
2 Ac 0.0379 0.9621 0.7592  6 Pd 3.19-3.25, 5 Cd 3.39-3.56
3 Ac 0.1562 0.8438 0.2891  6 Pd 3.14-3.27
4 Ac 0.1806 0.8194 0.9316  6 Pd 3.03-3.22
5 Ac 0.8194 0.1806 0.4316  6 Pd 3.03-3.22
6 Ac 0.8438 0.1562 0.7891  6 Pd 3.14-3.27
7 Ac 0.9621 0.0379 0.2592  6 Pd 3.19-3.25, 5 Cd 3.39-3.56
8 Ac 0.9881 0.0119 0.0000  7 Pd 3.18-3.43
9 Cd 0.1622 0.8378 0.6157  4 Pd 2.79-2.91, 1 Cd 3.07
10 Cd 0.3030 0.6970 0.6063  4 Pd 2.78-2.87, 1 Cd 3.07
11 Cd 0.3350 0.6650 0.2560  4 Pd 2.76-2.96
12 Cd 0.3555 0.6445 0.9706  4 Pd 2.79-2.86
13 Cd 0.4447 0.5553 0.6592  4 Pd 2.73-2.99
14 Cd 0.5553 0.4447 0.1592  4 Pd 2.73-2.99
15 Cd 0.6445 0.3555 0.4706  4 Pd 2.79-2.86
16 Cd 0.6650 0.3350 0.7560  4 Pd 2.76-2.96
17 Cd 0.6970 0.3030 0.1063  4 Pd 2.78-2.87, 1 Cd 3.07
18 Cd 0.8378 0.1622 0.1157  4 Pd 2.79-2.91, 1 Cd 3.07
19 Pd 0.1151 0.8849 0.0980  4 Cd 2.73-2.82, 1 Ac 3.03
20 Pd 0.2239 0.7761 0.4639  4 Cd 2.79-2.87, 2 Ac 3.06
21 Pd 0.2427 0.7573 0.7588  4 Cd 2.76-2.89, 1 Ac 3.09
22 Pd 0.4246 0.5754 0.3948  1 Pd 2.90, 1 Cd 2.96, 4 Ac 3.19-3.22
23 Pd 0.4265 0.5735 0.1203  5 Cd 2.86-2.95
24 Pd 0.4474 0.5526 0.8453  2 Cd 2.84-2.99, 1 Pd 2.90
25 Pd 0.5526 0.4474 0.3453  2 Cd 2.84-2.99, 1 Pd 2.90
26 Pd 0.5735 0.4265 0.6203  5 Cd 2.86-2.95
27 Pd 0.5754 0.4246 0.8948  1 Pd 2.90, 1 Cd 2.96, 4 Ac 3.19-3.22
28 Pd 0.7573 0.2427 0.2588  4 Cd 2.76-2.89, 1 Ac 3.09
29 Pd 0.7761 0.2239 0.9639  4 Cd 2.79-2.87, 2 Ac 3.06
30 Pd 0.8849 0.1151 0.5980  4 Cd 2.73-2.82, 1 Ac 3.03

# 3
Ac2Cd3Pd2 after structural relaxation, computed with PBE-GGA.

Computed properties:
Energy of formation from the pure elements = -55 kJ per mole of atoms
Size of the total moment = 0.00 μB per formula unit
Energy above the lowest structure with this stoichiometry = 0.000 eV per atom
Space group = No. 12

abc: 5.8349 5.8349 7.9371
angles: 110.02 110.02 45.60
With the nearest neighbours (Å) after each atom.
Element x y z (fractional)
1 Ac 0.1388 0.1388 0.2767  4 Pd 3.14-3.35, 3 Cd 3.46-3.49
2 Ac 0.8612 0.8612 0.7233  4 Pd 3.14-3.35, 3 Cd 3.46-3.49
3 Cd 0.3661 0.3661 0.0613  3 Pd 2.94-2.97, 3 Cd 3.24
4 Cd 0.5000 0.5000 0.5000  4 Pd 2.89
5 Cd 0.6339 0.6339 0.9387  3 Pd 2.94-2.97, 3 Cd 3.24
6 Pd 0.1473 0.1473 0.7031  5 Cd 2.89-2.97, 3 Ac 3.14-3.19
7 Pd 0.8527 0.8527 0.2969  5 Cd 2.89-2.97, 3 Ac 3.14-3.19

# 4
Ac2Cd3Pd4 after structural relaxation, computed with PBE-GGA.

Computed properties:
Energy of formation from the pure elements = -59 kJ per mole of atoms
Size of the total moment = 0.00 μB per formula unit
Space group = No. 64

abc: 9.3143 9.3143 7.7757
angles: 90.00 90.00 142.69
With the nearest neighbours (Å) after each atom.
Element x y z (fractional)
1 Ac 0.1083 0.8917 0.9211  5 Pd 3.03-3.25
2 Ac 0.3917 0.6083 0.4211  5 Pd 3.03-3.25
3 Ac 0.6083 0.3917 0.5789  5 Pd 3.03-3.25
4 Ac 0.8917 0.1083 0.0789  5 Pd 3.03-3.25
5 Cd 0.0000 0.0000 0.5000  6 Pd 2.76-2.90
6 Cd 0.0174 0.4826 0.7500  5 Pd 2.83-2.94, 2 Cd 2.98
7 Cd 0.4826 0.0174 0.2500  5 Pd 2.83-2.94, 2 Cd 2.98
8 Cd 0.5000 0.5000 0.0000  6 Pd 2.76-2.90
9 Cd 0.5174 0.9826 0.7500  5 Pd 2.83-2.94, 2 Cd 2.98
10 Cd 0.9826 0.5174 0.2500  5 Pd 2.83-2.94, 2 Cd 2.98
11 Pd 0.1643 0.8357 0.5236  5 Cd 2.86-2.94, 2 Pd 3.06, 2 Ac 3.17
12 Pd 0.1779 0.3221 0.7500  3 Cd 2.76-2.83, 4 Pd 2.98-3.06, 2 Ac 3.03
13 Pd 0.3221 0.1779 0.2500  3 Cd 2.76-2.83, 4 Pd 2.98-3.06, 2 Ac 3.03
14 Pd 0.3357 0.6643 0.0236  5 Cd 2.86-2.94, 2 Pd 3.06, 2 Ac 3.17
15 Pd 0.6643 0.3357 0.9764  5 Cd 2.86-2.94, 2 Pd 3.06, 2 Ac 3.17
16 Pd 0.6779 0.8221 0.7500  3 Cd 2.76-2.83, 4 Pd 2.98-3.06, 2 Ac 3.03
17 Pd 0.8221 0.6779 0.2500  3 Cd 2.76-2.83, 4 Pd 2.98-3.06, 2 Ac 3.03
18 Pd 0.8357 0.1643 0.4764  5 Cd 2.86-2.94, 2 Pd 3.06, 2 Ac 3.17

# 5
AcCdPd after structural relaxation, computed with PBE-GGA.

Computed properties:
Energy of formation from the pure elements = -55 kJ per mole of atoms
Size of the total moment = 0.00 μB per formula unit
Energy above the lowest structure with this stoichiometry = 0.100 eV per atom
Space group = No. 187

abc: 4.7802 4.7802 4.1417
angles: 90.00 90.00 120.00
With the nearest neighbours (Å) after each atom.
Element x y z (fractional)
1 Ac 0.0000 0.0000 0.0000  6 Cd 3.45, 6 Pd 3.45
2 Cd 0.6667 0.3333 0.5000  3 Pd 2.76
3 Pd 0.3333 0.6667 0.5000  3 Cd 2.76

# 6
Ac2CdPd after structural relaxation, computed with PBE-GGA.

Computed properties:
Energy of formation from the pure elements = -32 kJ per mole of atoms
Size of the total moment = 0.00 μB per formula unit
Energy above the lowest structure with this stoichiometry = 0.195 eV per atom
Space group = No. 15

abc: 6.5906 6.5906 9.0221
angles: 109.94 109.94 48.32
With the nearest neighbours (Å) after each atom.
Element x y z (fractional)
1 Ac 0.1738 0.1738 0.0869  2 Pd 2.97-2.98
2 Ac 0.1738 0.1738 0.5869  2 Pd 2.97-2.98
3 Ac 0.8262 0.8262 0.4131  2 Pd 2.97-2.98
4 Ac 0.8262 0.8262 0.9131  2 Pd 2.97-2.98
5 Cd 0.4990 0.5010 0.7500  2 Pd 2.70
6 Cd 0.5010 0.4990 0.2500  2 Pd 2.70
7 Pd 0.0010 0.9990 0.2500  2 Cd 2.70, 4 Ac 2.97-2.98
8 Pd 0.9990 0.0010 0.7500  2 Cd 2.70, 4 Ac 2.97-2.98

# 7
AcCdPd after structural relaxation, computed with PBE-GGA.

Computed properties:
Energy of formation from the pure elements = -52 kJ per mole of atoms
Size of the total moment = 0.00 μB per formula unit
Energy above the lowest structure with this stoichiometry = 0.134 eV per atom
Space group = No. 216

abc: 5.0100 5.0100 5.0100
angles: 60.00 60.00 60.00
With the nearest neighbours (Å) after each atom.
Element x y z (fractional)
1 Ac 0.0000 0.0000 0.0000  4 Pd 3.07
2 Cd 0.5000 0.5000 0.5000  4 Pd 3.07
3 Pd 0.2500 0.2500 0.2500  4 Cd 3.07, 4 Ac 3.07

# 8
Ac12Cd6Pd after structural relaxation, computed with PBE-GGA.

Computed properties:
Energy of formation from the pure elements = -12 kJ per mole of atoms
Size of the total moment = 0.00 μB per formula unit
Space group = No. 148

abc: 9.0662 9.0662 9.0662
angles: 93.75 93.75 93.75
With the nearest neighbours (Å) after each atom.
Element x y z (fractional)
1 Ac 0.0443 0.6972 0.9274  4 Cd 3.40-3.56
2 Ac 0.0726 0.9557 0.3028  4 Cd 3.40-3.56
3 Ac 0.1821 0.5347 0.4082  1 Pd 2.99
4 Ac 0.3028 0.0726 0.9557  4 Cd 3.40-3.56
5 Ac 0.4082 0.1821 0.5347  1 Pd 2.99
6 Ac 0.4653 0.5918 0.8179  1 Pd 2.99
7 Ac 0.5347 0.4082 0.1821  1 Pd 2.99
8 Ac 0.5918 0.8179 0.4653  1 Pd 2.99
9 Ac 0.6972 0.9274 0.0443  4 Cd 3.40-3.56
10 Ac 0.8179 0.4653 0.5918  1 Pd 2.99
11 Ac 0.9274 0.0443 0.6972  4 Cd 3.40-3.56
12 Ac 0.9557 0.3028 0.0726  4 Cd 3.40-3.56
13 Cd 0.1541 0.3585 0.7612  8 Ac 3.40-3.69
14 Cd 0.2388 0.8459 0.6415  8 Ac 3.40-3.69
15 Cd 0.3585 0.7612 0.1541  8 Ac 3.40-3.69
16 Cd 0.6415 0.2388 0.8459  8 Ac 3.40-3.69
17 Cd 0.7612 0.1541 0.3585  8 Ac 3.40-3.69
18 Cd 0.8459 0.6415 0.2388  8 Ac 3.40-3.69
19 Pd 0.5000 0.5000 0.5000  6 Ac 2.99

The records above give, respectively, D(E_F) values of 0.770; 0.434; 0.628; 0.441; 0.994; 1.019; 0.779; 1.556 states/eV/atom.